The following is a DFT calculation (PBE) of Al3Zn2Ga4 after structural relaxation.

Values from the calculation:
- Excess energy over the best structure of this formula in the dataset: 0.0000 eV per atom
- Energy of formation: 0.0423 eV per atom
- Mass density: 5.2 g/cm3

Lattice parameters (Å, degrees): 2.9007 2.9007 21.4936 90.00 90.00 120.00
Positions (direct):
Al 0.0000 0.0000 0.9826
Al 0.0000 0.0000 0.3171
Al 0.6667 0.3333 0.6592
Zn 0.6667 0.3333 0.0862
Zn 0.6667 0.3333 0.8779
Ga 0.0000 0.0000 0.5460
Ga 0.6667 0.3333 0.4298
Ga 0.6667 0.3333 0.2079
Ga 0.0000 0.0000 0.7706



The following is a DFT calculation (PBE) of Al5Zn2Ga12 after structural relaxation.

Values from the calculation:
- Excess energy over the best structure of this formula in the dataset: 0.0030 eV per atom
- Energy of formation: 0.0661 eV per atom
- Mass density: 5.2 g/cm3

Lattice parameters (Å, degrees): 7.6470 8.0148 6.9754 108.11 90.00 118.49
Positions (direct):
Al 0.1973 0.3946 0.5429
Al 0.2741 0.5481 0.9934
Al 0.0000 0.0000 0.5000
Al 0.7259 0.4519 0.0066
Al 0.8027 0.6054 0.4571
Zn 0.6769 0.0000 0.0000
Zn 0.3231 0.0000 0.0000
Ga 0.9308 0.8616 0.0848
Ga 0.0280 0.6184 0.7646
Ga 0.5904 0.6184 0.7646
Ga 0.1905 0.7967 0.3030
Ga 0.6061 0.7967 0.3030
Ga 0.4107 0.8214 0.6438
Ga 0.5893 0.1786 0.3562
Ga 0.8095 0.2033 0.6970
Ga 0.3939 0.2033 0.6970
Ga 0.9720 0.3816 0.2354
Ga 0.4096 0.3816 0.2354
Ga 0.0692 0.1384 0.9152



The following is a DFT calculation (PBE) of AlZn2Ga8 after structural relaxation.

Values from the calculation:
- Excess energy over the best structure of this formula in the dataset: 0.0000 eV per atom
- Energy of formation: 0.0581 eV per atom
- Mass density: 5.5 g/cm3

Lattice parameters (Å, degrees): 4.7347 6.9041 6.9041 74.06 83.95 83.95
Positions (direct):
Al 0.0000 0.0000 0.0000
Zn 0.4432 0.1268 0.1268
Zn 0.5568 0.8732 0.8732
Ga 0.7835 0.2135 0.6421
Ga 0.2165 0.3579 0.7865
Ga 0.8689 0.2487 0.2487
Ga 0.1311 0.7513 0.7513
Ga 0.7835 0.6421 0.2135
Ga 0.2165 0.7865 0.3579
Ga 0.3106 0.3796 0.3796
Ga 0.6894 0.6204 0.6204



The following is a DFT calculation (PBE) of Al2ZnGa5 after structural relaxation.

Values from the calculation:
- Excess energy over the best structure of this formula in the dataset: 0.0714 eV per atom
- Energy of formation: 0.1186 eV per atom
- Mass density: 4.9 g/cm3

Lattice parameters (Å, degrees): 2.7839 8.0343 14.3812 90.00 90.00 99.98
Positions (direct):
Al 0.8794 0.7587 0.4311
Al 0.8794 0.7587 0.0689
Al 0.1206 0.2413 0.5689
Al 0.1206 0.2413 0.9311
Zn 0.8530 0.7061 0.7500
Zn 0.1470 0.2939 0.2500
Ga 0.9546 0.9092 0.8951
Ga 0.9546 0.9092 0.6049
Ga 0.2272 0.4545 0.4133
Ga 0.2272 0.4545 0.0867
Ga 0.8199 0.6398 0.2500
Ga 0.1801 0.3602 0.7500
Ga 0.7728 0.5455 0.5867
Ga 0.7728 0.5455 0.9133
Ga 0.0454 0.0908 0.1049
Ga 0.0454 0.0908 0.3951



The following is a DFT calculation (PBE) of AlZn3Ga7 after structural relaxation.

Values from the calculation:
- Energy of formation: 0.1046 eV per atom
- Mass density: 5.7 g/cm3

Lattice parameters (Å, degrees): 5.1844 6.9240 6.9240 90.97 112.55 112.55
Positions (direct):
Al 0.5000 0.5000 0.5000
Zn 0.0000 0.7668 0.2332
Zn 0.5000 0.0000 0.0000
Zn 0.0000 0.2332 0.7668
Ga 0.2518 0.1752 0.1752
Ga 0.3224 0.0600 0.5924
Ga 0.6776 0.4076 0.9400
Ga 0.3224 0.5924 0.0600
Ga 0.0000 0.5000 0.5000
Ga 0.6776 0.9400 0.4076
Ga 0.7482 0.8248 0.8248



The following is a DFT calculation (PBE) of Al8Zn2Ga after structural relaxation.

Values from the calculation:
- Excess energy over the best structure of this formula in the dataset: 0.0900 eV per atom
- Energy of formation: 0.1115 eV per atom
- Mass density: 3.6 g/cm3

Lattice parameters (Å, degrees): 5.6423 5.2045 7.1543 84.65 113.22 90.00
Positions (direct):
Al 0.6507 0.6540 0.8181
Al 0.8327 0.3460 0.1819
Al 0.2180 0.9548 0.4361
Al 0.7820 0.0452 0.5639
Al 0.1673 0.6540 0.8181
Al 0.3493 0.3460 0.1819
Al 0.4116 0.1442 0.8232
Al 0.5884 0.8558 0.1768
Zn 0.2487 0.4608 0.4973
Zn 0.7513 0.5392 0.5027
Ga 0.0000 0.0000 0.0000



The following is a DFT calculation (PBE) of AlZnGa6 after structural relaxation.

Values from the calculation:
- Excess energy over the best structure of this formula in the dataset: 0.0195 eV per atom
- Energy of formation: 0.0833 eV per atom
- Mass density: 5.6 g/cm3

Lattice parameters (Å, degrees): 5.7776 6.1758 5.9711 58.86 73.40 56.47
Positions (direct):
Al 0.0000 0.0000 0.0000
Zn 0.5000 0.5000 0.0000
Ga 0.7483 0.4830 0.5346
Ga 0.7483 0.0177 0.4654
Ga 0.2517 0.9823 0.5346
Ga 0.2517 0.5170 0.4654
Ga 0.7459 0.7475 0.0000
Ga 0.2541 0.2525 0.0000



The following is a DFT calculation (PBE) of AlZn4Ga after structural relaxation.

Values from the calculation:
- Excess energy over the best structure of this formula in the dataset: 0.0000 eV per atom
- Energy of formation: 0.0363 eV per atom
- Mass density: 6.3 g/cm3

Lattice parameters (Å, degrees): 3.9183 2.8695 8.4335 90.01 90.00 90.00
Positions (direct):
Al 0.0000 0.0000 0.0000
Zn 0.0000 0.9994 0.6698
Zn 0.5000 0.4995 0.8344
Zn 0.5000 0.5005 0.1656
Zn 0.0000 0.0006 0.3302
Ga 0.5000 0.5000 0.5000



The following is a DFT calculation (PBE) of Al3ZnGa3 after structural relaxation.

Values from the calculation:
- Excess energy over the best structure of this formula in the dataset: 0.4651 eV per atom
- Energy of formation: 0.5331 eV per atom
- Mass density: 3.2 g/cm3

Lattice parameters (Å, degrees): 7.1955 7.1955 7.1955 90.00 90.00 90.00
Positions (direct):
Zn 0.5000 0.5000 0.5000
Zn 0.0000 0.0000 0.0000
Al 0.0000 0.2500 0.5000
Al 0.0000 0.7500 0.5000
Al 0.5000 0.0000 0.7500
Al 0.7500 0.5000 0.0000
Al 0.5000 0.0000 0.2500
Al 0.2500 0.5000 0.0000
Ga 0.2500 0.0000 0.5000
Ga 0.0000 0.5000 0.2500
Ga 0.5000 0.7500 0.0000
Ga 0.7500 0.0000 0.5000
Ga 0.0000 0.5000 0.7500
Ga 0.5000 0.2500 0.0000



The following is a DFT calculation (PBE) of Al11Zn4Ga9 after structural relaxation.

Values from the calculation:
- Energy of formation: 0.0696 eV per atom
- Mass density: 4.7 g/cm3

Lattice parameters (Å, degrees): 3.9934 10.5110 10.5110 107.86 90.00 90.00
Positions (direct):
Al 0.0000 0.5925 0.9339
Al 0.0000 0.4075 0.0661
Al 0.0000 0.9339 0.5925
Al 0.0000 0.0661 0.4075
Al 0.0000 0.6262 0.3738
Al 0.0000 0.3738 0.6262
Al 0.0000 0.8094 0.1906
Al 0.0000 0.1906 0.8094
Al 0.0000 0.0000 0.0000
Al 0.0000 0.7800 0.7800
Al 0.0000 0.2200 0.2200
Zn 0.5000 0.5929 0.7540
Zn 0.5000 0.4071 0.2460
Zn 0.5000 0.7540 0.5929
Zn 0.5000 0.2460 0.4071
Ga 0.5000 0.6132 0.1520
Ga 0.5000 0.3868 0.8480
Ga 0.5000 0.1520 0.6132
Ga 0.5000 0.8480 0.3868
Ga 0.5000 0.7953 0.9881
Ga 0.5000 0.2047 0.0119
Ga 0.5000 0.9881 0.7953
Ga 0.5000 0.0119 0.2047
Ga 0.5000 0.5000 0.5000



The following is a DFT calculation (PBE) of Al7Zn2Ga2 after structural relaxation.

Values from the calculation:
- Excess energy over the best structure of this formula in the dataset: 0.0319 eV per atom
- Energy of formation: 0.1390 eV per atom
- Mass density: 3.7 g/cm3

Lattice parameters (Å, degrees): 5.9008 5.8076 6.0824 85.77 90.00 89.96
Positions (direct):
Al 0.2589 0.9999 0.5005
Al 0.7469 0.4998 0.0000
Al 0.7411 0.0001 0.4995
Al 0.2531 0.5002 0.0000
Al 0.0000 0.0000 0.0000
Al 0.7233 0.5000 0.4998
Al 0.2767 0.5000 0.5002
Zn 0.0004 0.2799 0.2823
Zn 0.9996 0.7201 0.7177
Ga 0.5002 0.1683 0.8295
Ga 0.4998 0.8317 0.1705



The following is a DFT calculation (PBE) of Al4Zn2Ga after structural relaxation.

Values from the calculation:
- Excess energy over the best structure of this formula in the dataset: 0.0850 eV per atom
- Energy of formation: 0.1066 eV per atom
- Mass density: 4.1 g/cm3

Lattice parameters (Å, degrees): 5.5919 5.5919 5.5919 101.13 101.13 127.88
Positions (direct):
Al 0.1962 0.1962 0.3925
Al 0.8038 0.1962 0.0000
Al 0.1962 0.8038 0.0000
Al 0.8038 0.8038 0.6075
Zn 0.2500 0.7500 0.5000
Zn 0.7500 0.2500 0.5000
Ga 0.5000 0.5000 0.0000